A relaxed NdYSnPb crystal. Source: Alexandria, functional PBE-GGA.

Cell lengths 5.4825, 5.4825, 5.4825 Å; angles 60.00, 60.00, 60.00 degrees
Last column: nearest neighbours and their distance in Å.
Sites, in units of the cell vectors:
Nd 0.0000 0.0000 0.0000  4 Pb 3.36, 4 Sn 3.36
Y 0.5000 0.5000 0.5000  4 Sn 3.36, 4 Pb 3.36
Sn 0.2500 0.2500 0.2500  4 Nd 3.36, 4 Y 3.36
Pb 0.7500 0.7500 0.7500  4 Nd 3.36, 4 Y 3.36

Results
Uncorrected energy ... -20.9 eV for the cell shown
Calculated formation energy ... -192 kJ/mol of formula units
SG ... F-43m, No. 216